[1]
The following is a DFT calculation (PBE) of crystalline NbTcMo14 at its relaxed geometry.

## Properties
SG = Cmmm (65)
Formation energy from the elements = -0.02 eV/atom

Lattice parameters (Å, degrees): 5.481 5.481 8.979 90.00 90.00 109.48
Sites, in units of the cell vectors:
Nb1 0.000 0.000 0.000
Tc1 0.500 0.500 0.000
Mo1 0.000 0.000 0.500
Mo2 0.000 0.500 0.000
Mo3 0.000 0.500 0.500
Mo4 0.251 0.251 0.252
Mo5 0.251 0.251 0.748
Mo6 0.251 0.749 0.250
Mo7 0.251 0.749 0.750
Mo8 0.500 0.000 0.000
Mo9 0.500 0.000 0.500
Mo10 0.500 0.500 0.500
Mo11 0.749 0.251 0.250
Mo12 0.749 0.251 0.750
Mo13 0.749 0.749 0.252
Mo14 0.749 0.749 0.748

---

[2]
The following is a DFT calculation (PBE) of crystalline Ca2LaReHg at its relaxed geometry.

## Properties
Energy above the lowest structure with this stoichiometry = 0.000 eV/atom
SG = P4/mmm (123)
Formation energy from the elements = 0.66 eV/atom

Lattice parameters (Å, degrees): 5.386 5.386 5.444 90.00 90.00 90.00
Sites, in units of the cell vectors:
Ca1 0.000 0.500 0.000
Ca2 0.500 0.000 0.000
La1 0.000 0.000 0.500
Re1 0.500 0.500 0.000
Hg1 0.500 0.500 0.500

---

[3]
The following is a DFT calculation (PBE) of crystalline NdSm7In4 at its relaxed geometry.

## Properties
SG = C2/m (12)
Formation energy from the elements = -0.13 eV/atom

Lattice parameters (Å, degrees): 7.883 7.883 10.715 121.00 121.00 43.03
Sites, in units of the cell vectors:
Nd1 0.000 0.000 0.000
Sm1 0.063 0.063 0.394
Sm2 0.207 0.207 0.878
Sm3 0.283 0.283 0.344
Sm4 0.500 0.500 0.000
Sm5 0.717 0.717 0.656
Sm6 0.793 0.793 0.122
Sm7 0.937 0.937 0.606
In1 0.318 0.318 0.667
In2 0.441 0.441 0.244
In3 0.559 0.559 0.756
In4 0.682 0.682 0.333

---

[4]
The following is a DFT calculation (PBE) of crystalline Sm2SnO2 at its relaxed geometry.

## Properties
Energy relative to the elements, uncorrected = -240.8 kJ per mole of atoms
SG = I4/mmm (139)

Lattice parameters (Å, degrees): 7.681 7.681 7.681 150.45 150.45 42.28
Sites, in units of the cell vectors:
Sm1 0.168 0.168 0.000
Sm2 0.832 0.832 0.000
Sn1 0.500 0.500 0.000
O1 0.250 0.750 0.500
O2 0.750 0.250 0.500

---

[5]
The following is a DFT calculation (PBE) of crystalline Ba2CuP2 at its relaxed geometry.

## Properties
Energy above the lowest structure with this stoichiometry = 0.000 eV/atom
SG = C2/m (12)
Formation energy from the elements = -0.80 eV/atom

Lattice parameters (Å, degrees): 6.228 6.228 11.093 106.52 106.52 40.28
Sites, in units of the cell vectors:
Ba1 0.090 0.090 0.407
Ba2 0.298 0.298 0.855
Ba3 0.702 0.702 0.145
Ba4 0.910 0.910 0.593
Cu1 0.430 0.430 0.171
Cu2 0.570 0.570 0.829
P1 0.036 0.036 0.914
P2 0.357 0.357 0.347
P3 0.643 0.643 0.653
P4 0.964 0.964 0.086

---

[6]
The following is a DFT calculation (PBE) of crystalline Sc2Ti2Al3 at its relaxed geometry.

## Properties
SG = Cmmm (65)
Formation energy from the elements = -0.30 eV/atom

Lattice parameters (Å, degrees): 10.261 10.261 2.866 90.00 90.00 155.26
Sites, in units of the cell vectors:
Sc1 0.075 0.925 0.000
Sc2 0.925 0.075 0.000
Ti1 0.216 0.784 0.000
Ti2 0.784 0.216 0.000
Al1 0.343 0.657 0.500
Al2 0.500 0.500 0.500
Al3 0.657 0.343 0.500

---

[7]
The following is a DFT calculation (PBE) of crystalline PmDy4Th at its relaxed geometry.

## Properties
Energy above the lowest structure with this stoichiometry = 0.000 eV/atom
SG = P-1 (2)
Formation energy from the elements = 0.02 eV/atom

Lattice parameters (Å, degrees): 3.564 6.163 9.452 96.13 100.86 106.60
Sites, in units of the cell vectors:
Pm1 0.000 0.000 0.000
Dy1 0.162 0.497 0.828
Dy2 0.327 0.994 0.661
Dy3 0.673 0.006 0.339
Dy4 0.838 0.503 0.172
Th1 0.500 0.500 0.500

---

[8]
The following is a DFT calculation (PBE) of crystalline Cd3P at its relaxed geometry.

## Properties
Energy above the lowest structure with this stoichiometry = 0.151 eV/atom
SG = P6_3/mmc (194)
Formation energy from the elements = 0.24 eV/atom

Lattice parameters (Å, degrees): 6.029 6.029 5.399 90.00 90.00 120.00
Sites, in units of the cell vectors:
Cd1 0.169 0.338 0.250
Cd2 0.169 0.831 0.250
Cd3 0.338 0.169 0.750
Cd4 0.662 0.831 0.250
Cd5 0.831 0.169 0.750
Cd6 0.831 0.662 0.750
P1 0.333 0.667 0.750
P2 0.667 0.333 0.250

---

no.,energy (eV/atom)
1,-10.7764
2,-3.6799
3,-4.1969
4,-7.1671
5,-4.5529
6,-5.9713
7,-5.0731
8,-1.7977